(1)
{
  "formula": "KMgCdHg2",
  "functional": "PBE",
  "state": "optimized geometry",
  "cell": [[5.583, 0.000, 0.000], [0.000, 5.583, 0.000], [0.000, 0.000, 5.553]],
  "species": ["Hg", "Hg", "Cd", "Mg", "K"],
  "frac_coords": [[0.500, 0.000, 0.000], [0.000, 0.500, 0.000], [0.000, 0.000, 0.500], [0.000, 0.000, 0.000], [0.500, 0.500, 0.500]],
  "volume_a3_per_fu": 173.07,
  "e_tot_ry_per_atom": -0.065
}

=====

(2)
{
  "formula": "PrSmLuPu",
  "functional": "PBE",
  "state": "optimized geometry",
  "cell": [[-1.032, -5.493, -0.832], [2.160, -3.847, 3.530], [-3.393, -2.805, 3.542]],
  "species": ["Pr", "Lu", "Sm", "Pu"],
  "frac_coords": [[0.250, 0.250, 0.250], [0.500, 0.500, 0.500], [0.750, 0.750, 0.750], [0.000, 0.000, 0.000]],
  "volume_a3_per_fu": 127.56,
  "e_tot_ry_per_atom": -0.506
}

=====

(3)
{
  "formula": "Sc3Zn2Ni",
  "functional": "PBE",
  "state": "optimized geometry",
  "cell": [[-0.417, 3.103, 1.005], [-4.577, -0.802, 0.577], [3.459, -1.566, 6.268]],
  "species": ["Zn", "Zn", "Sc", "Sc", "Sc", "Ni"],
  "frac_coords": [[0.000, 0.674, 0.348], [0.000, 0.326, 0.652], [0.500, 0.500, 0.000], [0.500, 0.844, 0.689], [0.500, 0.156, 0.311], [0.000, 0.000, 0.000]],
  "volume_a3_per_fu": 106.93,
  "e_tot_ry_per_atom": -0.365
}

=====

(4)
{
  "formula": "RbBa2SrP",
  "functional": "PBE",
  "state": "optimized geometry",
  "cell": [[-2.120, -4.385, -4.349], [5.509, -3.421, 0.763], [-2.637, -3.233, 4.545]],
  "species": ["Ba", "Ba", "Rb", "P", "Sr"],
  "frac_coords": [[0.500, 0.000, 0.000], [0.000, 0.500, 0.000], [0.500, 0.500, 0.500], [0.000, 0.000, 0.000], [0.000, 0.000, 0.500]],
  "volume_a3_per_fu": 263.05,
  "e_tot_ry_per_atom": -0.204
}

=====

(5)
{
  "formula": "Ag5Te4Au2",
  "functional": "PBE",
  "state": "optimized geometry",
  "cell": [[4.329, 0.001, -0.818], [-0.716, 8.273, -3.805], [-0.629, -0.119, 8.543]],
  "species": ["Ag", "Ag", "Ag", "Ag", "Ag", "Te", "Te", "Te", "Te", "Au", "Au"],
  "frac_coords": [[0.810, 0.071, 0.621], [0.190, 0.929, 0.379], [0.500, 0.000, 0.000], [0.103, 0.576, 0.207], [0.897, 0.424, 0.793], [0.728, 0.729, 0.457], [0.963, 0.760, 0.927], [0.272, 0.271, 0.543], [0.037, 0.240, 0.073], [0.432, 0.240, 0.863], [0.568, 0.760, 0.137]],
  "volume_a3_per_fu": 299.68,
  "formation_energy_uncorrected_ev_per_atom": -0.021
}

=====

(6)
{
  "formula": "VHgPd4",
  "functional": "PBE",
  "state": "optimized geometry",
  "cell": [[-0.348, 3.088, 1.158], [-3.298, -0.301, -0.187], [-0.181, -3.087, 8.176]],
  "species": ["Pd", "Pd", "Pd", "Pd", "V", "Hg"],
  "frac_coords": [[0.500, 0.500, 0.850], [0.000, 0.000, 0.680], [0.500, 0.500, 0.150], [0.000, 0.000, 0.320], [0.000, 0.000, 0.000], [0.500, 0.500, 0.500]],
  "volume_a3_per_fu": 96.16,
  "e_tot_ry_per_atom": -0.379
}

=====

(7)
{
  "formula": "TbGdIn2",
  "functional": "PBE",
  "state": "optimized geometry",
  "cell": [[3.710, 0.000, 0.000], [1.855, 3.213, 0.000], [1.855, 1.071, 9.791]],
  "species": ["Tb", "In", "In", "Gd"],
  "frac_coords": [[0.000, 0.000, 0.000], [0.251, 0.251, 0.248], [0.749, 0.749, 0.752], [0.500, 0.500, 0.500]],
  "volume_a3_per_fu": 116.72,
  "e_tot_ry_per_atom": -0.468
}

=====

(8)
{
  "formula": "FeSbMo3",
  "functional": "PBE",
  "state": "optimized geometry",
  "cell": [[4.501, 0.000, 0.000], [0.000, 4.501, 0.000], [0.000, 0.000, 4.501]],
  "species": ["Mo", "Mo", "Mo", "Fe", "Sb"],
  "frac_coords": [[0.000, 0.500, 0.000], [0.500, 0.000, 0.000], [0.000, 0.000, 0.500], [0.000, 0.000, 0.000], [0.500, 0.500, 0.500]],
  "volume_a3_per_fu": 91.17,
  "formation_energy_uncorrected_ev_per_atom": 0.985,
  "polymorph_energy_mev_per_atom": 0.0
}

=====

(9)
{
  "formula": "Na2Si4Ir3Pt",
  "functional": "PBE",
  "state": "optimized geometry",
  "cell": [[-3.186, 0.216, 2.487], [-2.101, -2.410, -2.482], [3.389, -8.153, 5.049]],
  "species": ["Si", "Si", "Si", "Si", "Ir", "Ir", "Ir", "Na", "Na", "Pt"],
  "frac_coords": [[0.000, 0.000, 0.000], [0.000, 0.500, 0.368], [0.500, 0.500, 0.000], [0.500, 0.000, 0.632], [0.000, 0.000, 0.500], [0.000, 0.500, 0.131], [0.500, 0.000, 0.869], [0.500, 0.000, 0.250], [0.000, 0.500, 0.750], [0.500, 0.500, 0.500]],
  "volume_a3_per_fu": 166.64,
  "formation_energy_uncorrected_ev_per_atom": -0.582
}

=====

(10)
{
  "formula": "TmZrBeGa",
  "functional": "PBE",
  "state": "optimized geometry",
  "cell": [[-1.663, -4.378, 0.668], [0.408, -2.065, 4.237], [-3.841, -0.689, 2.675]],
  "species": ["Be", "Ga", "Zr", "Tm"],
  "frac_coords": [[0.750, 0.750, 0.750], [0.250, 0.250, 0.250], [0.500, 0.500, 0.500], [0.000, 0.000, 0.000]],
  "volume_a3_per_fu": 74.87,
  "e_tot_ry_per_atom": -0.380
}

=====

(11)
{
  "formula": "Pr2Zn16Rh",
  "functional": "PBE",
  "state": "optimized geometry",
  "cell": [[-1.324, 4.027, 5.385], [-2.185, -4.917, 4.244], [5.923, -0.992, 3.302]],
  "species": ["Zn", "Zn", "Zn", "Zn", "Zn", "Zn", "Zn", "Zn", "Zn", "Zn", "Zn", "Zn", "Zn", "Zn", "Zn", "Zn", "Rh", "Pr", "Pr"],
  "frac_coords": [[0.713, 0.998, 0.284], [0.507, 0.995, 0.995], [0.998, 0.713, 0.284], [0.284, 0.998, 0.713], [0.653, 0.653, 0.154], [0.100, 0.100, 0.100], [0.352, 0.352, 0.840], [0.653, 0.154, 0.653], [0.352, 0.840, 0.352], [0.713, 0.284, 0.998], [0.998, 0.284, 0.713], [0.284, 0.713, 0.998], [0.154, 0.653, 0.653], [0.840, 0.352, 0.352], [0.995, 0.507, 0.995], [0.995, 0.995, 0.507], [0.902, 0.902, 0.902], [0.668, 0.668, 0.668], [0.340, 0.340, 0.340]],
  "volume_a3_per_fu": 314.73,
  "e_tot_ry_per_atom": -0.166
}

=====

(12)
{
  "formula": "Lu2ZrTc",
  "functional": "PBE",
  "state": "optimized geometry",
  "cell": [[3.365, 0.000, 0.000], [0.000, 3.365, 0.000], [0.000, 0.000, 8.007]],
  "species": ["Tc", "Lu", "Lu", "Zr"],
  "frac_coords": [[0.500, 0.500, 0.000], [0.000, 0.000, 0.203], [0.000, 0.000, 0.797], [0.500, 0.500, 0.500]],
  "volume_a3_per_fu": 90.66,
  "polymorph_energy_mev_per_atom": 0.0
}

=====

(13)
{
  "formula": "RuPt8Rh6",
  "functional": "PBE",
  "state": "optimized geometry",
  "cell": [[7.270, 0.000, 0.000], [3.635, 6.296, 0.000], [3.635, 2.099, 5.305]],
  "species": ["Pt", "Pt", "Pt", "Pt", "Pt", "Pt", "Pt", "Pt", "Rh", "Rh", "Rh", "Rh", "Rh", "Rh", "Ru"],
  "frac_coords": [[0.410, 0.833, 0.614], [0.833, 0.143, 0.614], [0.857, 0.590, 0.386], [0.253, 0.253, 0.241], [0.747, 0.747, 0.759], [0.143, 0.410, 0.614], [0.167, 0.857, 0.386], [0.590, 0.167, 0.386], [0.340, 0.634, 0.109], [0.083, 0.660, 0.891], [0.366, 0.083, 0.891], [0.917, 0.340, 0.109], [0.634, 0.917, 0.109], [0.660, 0.366, 0.891], [0.000, 0.000, 0.000]],
  "volume_a3_per_fu": 242.82,
  "polymorph_energy_mev_per_atom": 123.4
}